[1]
Sc2GeTe6: optimized geometry, PBE.

The value obtained for the density of states at the Fermi level is 8.88 states/eV/f.u. Its total energy is -0.329 Ry per atom. As for the uncorrected formation energy: -0.456 eV/atom.

The structure belongs to space group P4_2/mnm (No. 136); the cell edges are 6.810, 6.810 and 12.585 Å and the angles 90.00°, 90.00° and 90.00°. Symmetry generates all atoms from Sc at (0.000, 0.000, 0.158), Ge at (0.000, 0.000, 0.500), Te at (0.198, 0.198, 0.329) and Te at (0.208, 0.208, 0.000).

---

[2]
La3As2Br: optimized geometry, PBE.

The value obtained for the density of states at the Fermi level is 3.79 states/eV/f.u. Its total energy is -0.400 Ry per atom. As for the uncorrected formation energy: -1.146 eV/atom.

The structure belongs to space group Cmcm (No. 63); the cell edges are 5.079, 13.459 and 11.103 Å and the angles 90.00°, 90.00° and 90.00°. Symmetry generates all atoms from La at (0.000, 0.087, 0.250), La at (0.000, 0.376, 0.033), As at (0.000, 0.000, 0.000), As at (0.000, 0.489, 0.250) and Br at (0.000, 0.245, 0.750).

---

[3]
ZnSn2Pd: optimized geometry, PBE.

The value obtained for the density of states at the Fermi level is 1.51 states/eV/f.u. Its total energy is -0.276 Ry per atom. The formation energy comes out at -0.55 eV/f.u.

The structure belongs to space group P4/mmm (No. 123); the cell edges are 3.291, 3.291 and 7.647 Å and the angles 90.00°, 90.00° and 90.00°. Symmetry generates all atoms from Zn at (0.000, 0.000, 0.000), Sn at (0.500, 0.500, 0.270) and Pd at (0.000, 0.000, 0.500).

---

[4]
Dy2GeSe: optimized geometry, PBE.

The value obtained for the density of states at the Fermi level is 1.08 states/eV/f.u. Its total energy is -0.420 Ry per atom. As for the uncorrected formation energy: -1.387 eV/atom. As for the energy above the most stable polymorph in this dataset: 0.28 kcal/mol of atoms.

The structure belongs to space group R-3m (No. 166, hexagonal axes); the cell edges are 4.1268, 4.1268 and 20.3555 Å and the angles 90.00°, 90.00° and 120.00°. Symmetry generates all atoms from Dy at (0.0000, 0.0000, 0.2458), Ge at (0.0000, 0.0000, 0.5000) and Se at (0.0000, 0.0000, 0.0000).

---

[5]
Ti6Sn2Ir: optimized geometry, PBE.

The value obtained for the density of states at the Fermi level is 10.97 states/eV/f.u. Its total energy is -0.531 Ry per atom. The formation energy comes out at -0.73 eV/f.u.

The structure belongs to space group Immm (No. 71); the cell edges are 4.480, 6.371 and 13.214 Å and the angles 90.00°, 90.00° and 90.00°. Symmetry generates all atoms from Ti at (0.000, 0.229, 0.000), Ti at (0.000, 0.262, 0.349), Sn at (0.000, 0.500, 0.170) and Ir at (0.000, 0.500, 0.500).

---

[6]
MnCrCu2: optimized geometry, PBE.

The value obtained for the density of states at the Fermi level is 2.02 states/eV/f.u. Its total energy is -0.487 Ry per atom. The formation energy comes out at 0.50 eV/f.u.

The structure belongs to space group I-4m2 (No. 119); the cell edges are 3.686, 3.686 and 7.425 Å and the angles 90.00°, 90.00° and 90.00°. Symmetry generates all atoms from Mn at (0.000, 0.000, 0.000), Cr at (0.000, 0.500, 0.750), Cu at (0.000, 0.000, 0.500) and Cu at (0.000, 0.500, 0.250).

---

[7]
Dy4CdRhAu2: optimized geometry, PBE.

The value obtained for the density of states at the Fermi level is 4.44 states/eV/f.u. Its total energy is -0.359 Ry per atom. The formation energy comes out at -5.84 eV/f.u.

The structure belongs to space group R-3m (No. 166, hexagonal axes); the cell edges are 5.0839, 5.0839 and 24.7849 Å and the angles 90.00°, 90.00° and 120.00°. Symmetry generates all atoms from Dy at (0.0000, 0.0000, 0.1159), Dy at (0.0000, 0.0000, 0.3681), Cd at (0.0000, 0.0000, 0.5000), Rh at (0.0000, 0.0000, 0.0000) and Au at (0.0000, 0.0000, 0.2403).

---

[8]
RbDyCdCl6: optimized geometry, PBE.

The value obtained for the density of states at the Fermi level is 0.00 states/eV/f.u. Its total energy is -0.279 Ry per atom. As for the uncorrected formation energy: -1.850 eV/atom.

The structure belongs to space group P-31c (No. 163); the cell edges are 6.9685, 6.9685 and 14.5218 Å and the angles 90.00°, 90.00° and 120.00°. Symmetry generates all atoms from Rb at (0.0000, 0.0000, 0.0000), Dy at (0.3333, 0.6667, 0.2500), Cd at (0.3333, 0.6667, 0.7500) and Cl at (0.0015, 0.3781, 0.1448).

---

Q: What is the formula in the first record?
A: Sc2GeTe6